(1)
K2NpMnS5 | Alexandria | PBE | optimized geometry; VASP energy = -108.406 eV/cell; spin magnetization = 0.67 μB per atom; formation energy without anion corrections = -1029 meV/atom
1.0
-1.804 -2.757 -2.287
-0.902 -3.721 8.715
-11.742 6.418 1.526
K Np Mn S
4 2 2 10
Direct
0.875 0.750 0.832
0.121 0.241 0.685
0.125 0.250 0.332
0.879 0.759 0.185
0.797 0.595 0.528
0.203 0.405 0.028
0.570 0.139 0.923
0.430 0.861 0.423
0.334 0.669 0.012
0.691 0.381 0.893
0.507 0.014 0.791
0.303 0.606 0.654
0.942 0.885 0.506
0.666 0.331 0.512
0.309 0.619 0.393
0.493 0.986 0.291
0.697 0.394 0.154
0.058 0.115 0.006

***

(2)
KNp2MnS4 | Alexandria | PBE | optimized geometry; VASP energy = -123.938 eV/cell; spin magnetization = 1.45 μB per atom; formation energy without anion corrections = -1164 meV/atom
1.0
3.992 0.000 0.000
-1.996 6.792 0.000
0.000 0.000 13.732
K Np Mn S
2 4 2 8
Direct
0.104 0.207 0.750
0.896 0.793 0.250
0.367 0.735 0.558
0.633 0.265 0.058
0.633 0.265 0.442
0.367 0.735 0.942
0.833 0.666 0.750
0.167 0.334 0.250
0.261 0.523 0.111
0.739 0.477 0.611
0.739 0.477 0.889
0.261 0.523 0.389
0.000 0.000 0.500
0.000 0.000 0.000
0.423 0.846 0.750
0.577 0.154 0.250

***

(3)
KNpMn2S4 | Alexandria | PBE | optimized geometry; VASP energy = -54.681 eV/cell; spin magnetization = 1.50 μB per atom; formation energy without anion corrections = -724 meV/atom
1.0
-6.407 1.731 0.069
-3.365 0.060 5.137
-1.903 5.617 1.595
K Np Mn S
1 1 2 4
Direct
0.000 0.000 0.000
0.500 0.500 0.500
0.208 0.292 0.292
0.792 0.708 0.708
0.483 0.059 0.521
0.063 0.941 0.479
0.937 0.521 0.059
0.517 0.479 0.941

***

(4)
K2NpMnS4 | Alexandria | PBE | optimized geometry; VASP energy = -98.977 eV/cell; spin magnetization = 1.00 μB per atom; formation energy without anion corrections = -1084 meV/atom
1.0
8.215 -0.026 -0.115
-0.032 8.215 -0.115
-4.066 -4.069 5.904
K Np Mn S
4 2 2 8
Direct
0.500 0.000 0.000
0.500 0.000 0.500
0.000 0.000 0.500
0.500 0.500 0.000
0.000 0.500 0.000
0.000 0.500 0.500
0.500 0.500 0.500
0.000 0.000 0.000
0.204 0.731 0.968
0.769 0.296 0.532
0.231 0.704 0.468
0.796 0.269 0.032
0.768 0.732 0.955
0.768 0.732 0.546
0.232 0.268 0.454
0.232 0.268 0.045

***

(5)
K2NpMn2S6 | Alexandria | PBE | optimized geometry; VASP energy = -67.333 eV/cell; spin magnetization = 0.46 μB per atom; formation energy without anion corrections = -827 meV/atom
1.0
7.160 0.000 0.000
3.580 6.200 0.000
3.580 2.067 6.290
K Np Mn S
2 1 2 6
Direct
0.762 0.762 0.713
0.238 0.238 0.287
0.000 0.000 0.000
0.446 0.446 0.661
0.554 0.554 0.339
0.750 0.750 0.246
0.253 0.750 0.246
0.750 0.253 0.246
0.250 0.747 0.754
0.747 0.250 0.754
0.250 0.250 0.754

***

(6)
K3NpMn2S6 | Alexandria | PBE | optimized geometry; VASP energy = -71.708 eV/cell; spin magnetization = 1.00 μB per atom; formation energy without anion corrections = -1031 meV/atom
1.0
6.665 0.004 0.001
-3.327 5.775 0.001
-1.113 -1.928 7.295
K Np Mn S
3 1 2 6
Direct
0.166 0.834 0.500
0.834 0.166 0.500
0.500 0.500 0.500
0.000 0.000 0.000
0.333 0.667 0.000
0.667 0.333 0.000
0.937 0.595 0.809
0.721 0.721 0.190
0.063 0.405 0.191
0.595 0.937 0.809
0.279 0.279 0.810
0.405 0.063 0.191

***

(7)
K2Np3MnS8 | Alexandria | PBE | optimized geometry; VASP energy = -100.061 eV/cell; spin magnetization = 1.00 μB per atom; formation energy without anion corrections = -1204 meV/atom
1.0
7.850 0.000 0.000
3.925 6.798 0.000
3.925 2.266 7.886
K Np Mn S
2 3 1 8
Direct
0.138 0.138 0.585
0.489 0.489 0.534
0.492 0.987 0.030
0.987 0.492 0.030
0.492 0.492 0.030
0.981 0.981 0.058
0.264 0.264 0.207
0.718 0.718 0.846
0.213 0.213 0.854
0.720 0.213 0.854
0.213 0.720 0.854
0.764 0.258 0.213
0.258 0.764 0.213
0.764 0.764 0.213

***

(8)
K3Np3MnS8 | Alexandria | PBE | optimized geometry; VASP energy = -102.665 eV/cell; spin magnetization = 0.09 μB per atom; formation energy without anion corrections = -1224 meV/atom
1.0
-0.730 7.855 -0.783
-6.494 -4.617 -0.123
3.942 1.136 7.750
K Np Mn S
3 3 1 8
Direct
0.000 0.000 0.000
0.000 0.500 0.000
0.500 0.500 0.000
0.500 0.000 0.500
0.500 0.500 0.500
0.000 0.500 0.500
0.000 0.000 0.500
0.265 0.529 0.296
0.735 0.471 0.704
0.771 0.542 0.310
0.229 0.458 0.690
0.773 0.035 0.310
0.227 0.965 0.690
0.261 0.035 0.310
0.739 0.965 0.690

***

(9)
K2NpMnSe4 | Alexandria | PBE | optimized geometry; VASP energy = -92.098 eV/cell; spin magnetization = 0.37 μB per atom; formation energy without anion corrections = -976 meV/atom
1.0
-5.624 -6.308 1.503
6.098 -5.787 -1.688
1.345 6.070 5.935
K Np Mn Se
4 2 2 8
Direct
0.500 0.000 0.000
0.500 0.000 0.500
0.000 0.000 0.500
0.500 0.500 0.000
0.000 0.500 0.000
0.000 0.500 0.500
0.500 0.500 0.500
0.000 0.000 0.000
0.205 0.737 0.971
0.769 0.292 0.531
0.231 0.708 0.469
0.795 0.263 0.029
0.761 0.727 0.950
0.761 0.727 0.538
0.239 0.273 0.462
0.239 0.273 0.050

***

(10)
K3Np3MnSe8 | Alexandria | PBE | optimized geometry; VASP energy = -95.513 eV/cell; spin magnetization = 0.54 μB per atom; formation energy without anion corrections = -1090 meV/atom
1.0
-5.274 -1.852 6.076
8.085 0.971 1.705
-4.833 7.564 -1.890
K Np Mn Se
3 3 1 8
Direct
0.000 0.000 0.000
0.000 0.500 0.000
0.500 0.500 0.000
0.500 0.000 0.500
0.500 0.500 0.500
0.000 0.500 0.500
0.000 0.000 0.500
0.264 0.528 0.292
0.736 0.472 0.708
0.770 0.539 0.305
0.230 0.461 0.695
0.778 0.032 0.308
0.222 0.968 0.692
0.254 0.032 0.308
0.746 0.968 0.692

***

(11)
K3Np2MnSe6 | Alexandria | PBE | optimized geometry; VASP energy = -72.482 eV/cell; spin magnetization = 0.17 μB per atom; formation energy without anion corrections = -1103 meV/atom
1.0
7.229 -0.001 0.001
-3.613 6.261 0.001
-1.205 -2.087 7.663
K Np Mn Se
3 2 1 6
Direct
0.166 0.834 0.500
0.834 0.166 0.500
0.500 0.500 0.500
0.333 0.667 0.000
0.667 0.333 0.000
0.000 0.000 0.000
0.933 0.605 0.799
0.739 0.739 0.201
0.067 0.395 0.201
0.605 0.933 0.799
0.261 0.261 0.799
0.395 0.067 0.201

***

(12)
KNpMnSe3 | Alexandria | PBE | optimized geometry; VASP energy = -79.062 eV/cell; spin magnetization = 1.35 μB per atom; formation energy without anion corrections = -978 meV/atom
1.0
-2.539 -3.369 0.149
0.302 -0.629 -9.068
7.306 -5.355 3.439
K Np Mn Se
2 2 2 6
Direct
0.750 0.799 0.767
0.250 0.201 0.233
0.250 0.671 0.151
0.750 0.329 0.849
0.250 0.083 0.596
0.750 0.917 0.404
0.250 0.794 0.466
0.750 0.886 0.141
0.750 0.457 0.157
0.750 0.206 0.534
0.250 0.543 0.843
0.250 0.114 0.859